A plane-wave DFT calculation with PBE-GGA was carried out for Li2GdCd after structural relaxation.

The structure in POSCAR format:
```
Li2GdCd
1.0
4.930 0.000 0.000
2.465 4.269 0.000
2.465 1.423 4.025
Cd Li Gd
1 2 1
direct
0.000 0.000 0.000
0.250 0.250 0.250
0.750 0.750 0.750
0.500 0.500 0.500
```

Values from the calculation:
Formation energy from the elements = -0.35 eV/f.u.
DFT total energy = -4.79 eV/atom
Crystal system = cubic
Offset from the most stable computed form = 0 meV/atom